# 1
# KZr2NiS4, optimized geometry, DFT GGA-PBE
data_KZr2NiS4
_cell_length_a 6.790
_cell_length_b 6.790
_cell_length_c 13.076
_cell_angle_alpha 90.00
_cell_angle_beta 90.00
_cell_angle_gamma 148.25
_symmetry_space_group_name_H-M 'P 1'
_symmetry_Int_Tables_number 1
_symmetry_space_group_name_Hall 'P 1'
loop_
_atom_site_label
_atom_site_type_symbol
_atom_site_fract_x
_atom_site_fract_y
_atom_site_fract_z
K1 K 0.114 0.886 0.750
K2 K 0.886 0.114 0.250
Zr1 Zr 0.372 0.628 0.567
Zr2 Zr 0.372 0.628 0.933
Zr3 Zr 0.628 0.372 0.067
Zr4 Zr 0.628 0.372 0.433
Ni1 Ni 0.162 0.838 0.250
Ni2 Ni 0.838 0.162 0.750
S1 S 0.000 0.000 0.000
S2 S 0.000 0.000 0.500
S3 S 0.262 0.738 0.110
S4 S 0.262 0.738 0.390
S5 S 0.436 0.564 0.750
S6 S 0.564 0.436 0.250
S7 S 0.738 0.262 0.610
S8 S 0.738 0.262 0.890
# * formation energy (no corrections): -1.3262 eV per atom
# * symmetry: Cmcm, No. 63

# 2
# Al2Cr3C, optimized geometry, DFT GGA-PBE
data_Al2Cr3C
_cell_length_a 6.223
_cell_length_b 6.223
_cell_length_c 4.772
_cell_angle_alpha 111.11
_cell_angle_beta 111.11
_cell_angle_gamma 101.81
_symmetry_space_group_name_H-M 'P 1'
_symmetry_Int_Tables_number 1
_symmetry_space_group_name_Hall 'P 1'
loop_
_atom_site_label
_atom_site_type_symbol
_atom_site_fract_x
_atom_site_fract_y
_atom_site_fract_z
Al1 Al 0.056 0.944 0.750
Al2 Al 0.222 0.778 0.250
Al3 Al 0.778 0.222 0.750
Al4 Al 0.944 0.056 0.250
Cr1 Cr 0.000 0.500 0.500
Cr2 Cr 0.290 0.380 0.266
Cr3 Cr 0.380 0.290 0.766
Cr4 Cr 0.500 0.000 0.000
Cr5 Cr 0.620 0.710 0.234
Cr6 Cr 0.710 0.620 0.734
C1 C 0.389 0.611 0.750
C2 C 0.611 0.389 0.250
# * VASP energy: -89.1 eV for the cell shown
# * symmetry: C2/c, No. 15

# 3
# Na3Ce3HgS8, optimized geometry, DFT GGA-PBE
data_Na3Ce3HgS8
_cell_length_a 8.040
_cell_length_b 8.040
_cell_length_c 8.116
_cell_angle_alpha 119.46
_cell_angle_beta 119.46
_cell_angle_gamma 62.39
_symmetry_space_group_name_H-M 'P 1'
_symmetry_Int_Tables_number 1
_symmetry_space_group_name_Hall 'P 1'
loop_
_atom_site_label
_atom_site_type_symbol
_atom_site_fract_x
_atom_site_fract_y
_atom_site_fract_z
Na1 Na 0.000 0.000 0.000
Na2 Na 0.000 0.500 0.000
Na3 Na 0.500 0.000 0.000
Ce1 Ce 0.000 0.500 0.500
Ce2 Ce 0.500 0.000 0.500
Ce3 Ce 0.500 0.500 0.500
Hg1 Hg 0.000 0.000 0.500
S1 S 0.225 0.225 0.713
S2 S 0.252 0.252 0.268
S3 S 0.263 0.715 0.735
S4 S 0.285 0.737 0.265
S5 S 0.715 0.263 0.735
S6 S 0.737 0.285 0.265
S7 S 0.748 0.748 0.732
S8 S 0.775 0.775 0.287
# * formation energy (no corrections): -1.4087 eV per atom
# * symmetry: C2/m, No. 12

# 4
# Na2Bi3Sb2, optimized geometry, DFT GGA-PBE
data_Na2Bi3Sb2
_cell_length_a 6.282
_cell_length_b 6.282
_cell_length_c 8.052
_cell_angle_alpha 104.16
_cell_angle_beta 104.16
_cell_angle_gamma 49.75
_symmetry_space_group_name_H-M 'P 1'
_symmetry_Int_Tables_number 1
_symmetry_space_group_name_Hall 'P 1'
loop_
_atom_site_label
_atom_site_type_symbol
_atom_site_fract_x
_atom_site_fract_y
_atom_site_fract_z
Na1 Na 0.167 0.167 0.330
Na2 Na 0.833 0.833 0.670
Bi1 Bi 0.378 0.378 0.056
Bi2 Bi 0.500 0.500 0.500
Bi3 Bi 0.622 0.622 0.944
Sb1 Sb 0.134 0.134 0.739
Sb2 Sb 0.866 0.866 0.261
# * formation energy (no corrections): -0.0786 eV per atom
# * symmetry: C2/m, No. 12

# 5
# ErMg2Tl2, optimized geometry, DFT GGA-PBE
data_ErMg2Tl2
_cell_length_a 5.021
_cell_length_b 5.021
_cell_length_c 13.020
_cell_angle_alpha 90.00
_cell_angle_beta 90.00
_cell_angle_gamma 120.00
_symmetry_space_group_name_H-M 'P 1'
_symmetry_Int_Tables_number 1
_symmetry_space_group_name_Hall 'P 1'
loop_
_atom_site_label
_atom_site_type_symbol
_atom_site_fract_x
_atom_site_fract_y
_atom_site_fract_z
Er1 Er 0.000 0.000 0.250
Er2 Er 0.000 0.000 0.750
Mg1 Mg 0.000 0.000 0.000
Mg2 Mg 0.000 0.000 0.500
Mg3 Mg 0.333 0.667 0.250
Mg4 Mg 0.667 0.333 0.750
Tl1 Tl 0.333 0.667 0.618
Tl2 Tl 0.333 0.667 0.882
Tl3 Tl 0.667 0.333 0.118
Tl4 Tl 0.667 0.333 0.382
# * excess energy over the best structure of this formula in the dataset: 0.3258 eV per atom
# * symmetry: P6_3/mmc, No. 194

# 6
# Cs2SmMg2Te4, optimized geometry, DFT GGA-PBE
data_Cs2SmMg2Te4
_cell_length_a 8.870
_cell_length_b 8.870
_cell_length_c 9.142
_cell_angle_alpha 106.57
_cell_angle_beta 106.57
_cell_angle_gamma 30.05
_symmetry_space_group_name_H-M 'P 1'
_symmetry_Int_Tables_number 1
_symmetry_space_group_name_Hall 'P 1'
loop_
_atom_site_label
_atom_site_type_symbol
_atom_site_fract_x
_atom_site_fract_y
_atom_site_fract_z
Cs1 Cs 0.128 0.128 0.047
Cs2 Cs 0.872 0.872 0.953
Sm1 Sm 0.000 0.000 0.500
Mg1 Mg 0.330 0.330 0.523
Mg2 Mg 0.670 0.670 0.477
Te1 Te 0.201 0.201 0.670
Te2 Te 0.483 0.483 0.734
Te3 Te 0.517 0.517 0.266
Te4 Te 0.799 0.799 0.330
# * formation energy (no corrections): -1.0608 eV per atom
# * symmetry: C2/m, No. 12

# 7
# Cd2PbAu6, optimized geometry, DFT GGA-PBE
data_Cd2PbAu6
_cell_length_a 8.436
_cell_length_b 8.436
_cell_length_c 8.436
_cell_angle_alpha 158.32
_cell_angle_beta 122.79
_cell_angle_gamma 61.91
_symmetry_space_group_name_H-M 'P 1'
_symmetry_Int_Tables_number 1
_symmetry_space_group_name_Hall 'P 1'
loop_
_atom_site_label
_atom_site_type_symbol
_atom_site_fract_x
_atom_site_fract_y
_atom_site_fract_z
Cd1 Cd 0.149 0.149 0.000
Cd2 Cd 0.851 0.851 0.000
Pb1 Pb 0.500 0.000 0.500
Au1 Au 0.144 0.323 0.821
Au2 Au 0.171 0.500 0.671
Au3 Au 0.498 0.677 0.821
Au4 Au 0.502 0.323 0.179
Au5 Au 0.829 0.500 0.329
Au6 Au 0.856 0.677 0.179
# * excess energy over the best structure of this formula in the dataset: 0.0148 eV per atom
# * symmetry: Immm, No. 71

# 8
# CsAg3Ge, optimized geometry, DFT GGA-PBE
data_CsAg3Ge
_cell_length_a 5.195
_cell_length_b 5.195
_cell_length_c 5.195
_cell_angle_alpha 90.00
_cell_angle_beta 90.00
_cell_angle_gamma 90.00
_symmetry_space_group_name_H-M 'P 1'
_symmetry_Int_Tables_number 1
_symmetry_space_group_name_Hall 'P 1'
loop_
_atom_site_label
_atom_site_type_symbol
_atom_site_fract_x
_atom_site_fract_y
_atom_site_fract_z
Cs1 Cs 0.000 0.000 0.000
Ag1 Ag 0.000 0.500 0.500
Ag2 Ag 0.500 0.000 0.500
Ag3 Ag 0.500 0.500 0.000
Ge1 Ge 0.500 0.500 0.500
# * excess energy over the best structure of this formula in the dataset: 0.0000 eV per atom
# * symmetry: Pm-3m, No. 221

# 9
# BaNaCl3, optimized geometry, DFT GGA-PBE
data_BaNaCl3
_cell_length_a 9.059
_cell_length_b 7.556
_cell_length_c 9.702
_cell_angle_alpha 90.00
_cell_angle_beta 104.88
_cell_angle_gamma 90.00
_symmetry_space_group_name_H-M 'P 1'
_symmetry_Int_Tables_number 1
_symmetry_space_group_name_Hall 'P 1'
loop_
_atom_site_label
_atom_site_type_symbol
_atom_site_fract_x
_atom_site_fract_y
_atom_site_fract_z
Ba1 Ba 0.141 0.247 0.158
Ba2 Ba 0.141 0.253 0.658
Ba3 Ba 0.859 0.747 0.342
Ba4 Ba 0.859 0.753 0.842
Na1 Na 0.399 0.716 0.536
Na2 Na 0.399 0.784 0.036
Na3 Na 0.601 0.216 0.964
Na4 Na 0.601 0.284 0.464
Cl1 Cl 0.148 0.506 0.405
Cl2 Cl 0.148 0.994 0.905
Cl3 Cl 0.177 0.513 0.924
Cl4 Cl 0.177 0.987 0.424
Cl5 Cl 0.479 0.129 0.195
Cl6 Cl 0.479 0.371 0.695
Cl7 Cl 0.521 0.629 0.305
Cl8 Cl 0.521 0.871 0.805
Cl9 Cl 0.823 0.013 0.576
Cl10 Cl 0.823 0.487 0.076
Cl11 Cl 0.852 0.006 0.095
Cl12 Cl 0.852 0.494 0.595
# * formation energy (no corrections): -2.1946 eV per atom
# * excess energy over the best structure of this formula in the dataset: 0.0000 eV per atom
# * symmetry: P2_1/c, No. 14

# 10
# TaCrMo2As, optimized geometry, DFT GGA-PBE
data_TaCrMo2As
_cell_length_a 4.486
_cell_length_b 4.486
_cell_length_c 4.663
_cell_angle_alpha 90.00
_cell_angle_beta 90.00
_cell_angle_gamma 90.00
_symmetry_space_group_name_H-M 'P 1'
_symmetry_Int_Tables_number 1
_symmetry_space_group_name_Hall 'P 1'
loop_
_atom_site_label
_atom_site_type_symbol
_atom_site_fract_x
_atom_site_fract_y
_atom_site_fract_z
Ta1 Ta 0.000 0.000 0.000
Cr1 Cr 0.000 0.000 0.500
Mo1 Mo 0.000 0.500 0.500
Mo2 Mo 0.500 0.000 0.500
As1 As 0.500 0.500 0.000
# * VASP energy: -42.1 eV for the cell shown
# * symmetry: P4/mmm, No. 123

# 11
# NaCdGa2, optimized geometry, DFT GGA-PBE
data_NaCdGa2
_cell_length_a 7.279
_cell_length_b 4.376
_cell_length_c 10.737
_cell_angle_alpha 90.00
_cell_angle_beta 90.00
_cell_angle_gamma 90.00
_symmetry_space_group_name_H-M 'P 1'
_symmetry_Int_Tables_number 1
_symmetry_space_group_name_Hall 'P 1'
loop_
_atom_site_label
_atom_site_type_symbol
_atom_site_fract_x
_atom_site_fract_y
_atom_site_fract_z
Na1 Na 0.227 0.250 0.183
Na2 Na 0.273 0.750 0.683
Na3 Na 0.727 0.250 0.317
Na4 Na 0.773 0.750 0.817
Cd1 Cd 0.039 0.750 0.400
Cd2 Cd 0.461 0.250 0.900
Cd3 Cd 0.539 0.750 0.100
Cd4 Cd 0.961 0.250 0.600
Ga1 Ga 0.066 0.250 0.855
Ga2 Ga 0.192 0.750 0.968
Ga3 Ga 0.308 0.250 0.468
Ga4 Ga 0.434 0.750 0.355
Ga5 Ga 0.566 0.250 0.645
Ga6 Ga 0.692 0.750 0.532
Ga7 Ga 0.808 0.250 0.032
Ga8 Ga 0.934 0.750 0.145
# * VASP energy: -35.3 eV for the cell shown
# * symmetry: Pnma, No. 62

# 12
# Ca3Tl4F10, optimized geometry, DFT GGA-PBE
data_Ca3Tl4F10
_cell_length_a 16.308
_cell_length_b 16.308
_cell_length_c 16.308
_cell_angle_alpha 164.12
_cell_angle_beta 164.12
_cell_angle_gamma 22.54
_symmetry_space_group_name_H-M 'P 1'
_symmetry_Int_Tables_number 1
_symmetry_space_group_name_Hall 'P 1'
loop_
_atom_site_label
_atom_site_type_symbol
_atom_site_fract_x
_atom_site_fract_y
_atom_site_fract_z
Ca1 Ca 0.000 0.000 0.000
Ca2 Ca 0.141 0.141 0.000
Ca3 Ca 0.859 0.859 0.000
Tl1 Tl 0.294 0.294 0.000
Tl2 Tl 0.430 0.430 0.000
Tl3 Tl 0.570 0.570 0.000
Tl4 Tl 0.706 0.706 0.000
F1 F 0.000 0.500 0.500
F2 F 0.071 0.071 0.000
F3 F 0.140 0.640 0.500
F4 F 0.213 0.213 0.000
F5 F 0.360 0.860 0.500
F6 F 0.500 0.000 0.500
F7 F 0.640 0.140 0.500
F8 F 0.787 0.787 0.000
F9 F 0.860 0.360 0.500
F10 F 0.929 0.929 0.000
# * formation energy (no corrections): -2.8897 eV per atom
# * symmetry: I4/mmm, No. 139

| no. | calculated volume (Å³ per cell) |
| --- | --- |
| 1 | 317 |
| 2 | 148 |
| 3 | 380 |
| 4 | 234 |
| 5 | 284 |
| 6 | 344 |
| 7 | 185 |
| 8 | 140 |
| 9 | 642 |
| 10 | 94 |
| 11 | 342 |
| 12 | 325 |